1.
Al4CoNi2Pd: relaxed, PBE.

POSCAR file:
```
Al4CoNi2Pd
1.0
2.069 1.194 6.839
-2.069 1.194 6.839
0.000 -2.389 6.839
Al Co Ni Pd
4 1 2 1
Direct
0.120 0.120 0.120 Al
0.372 0.372 0.372 Al
0.628 0.628 0.628 Al
0.880 0.880 0.880 Al
0.000 0.000 0.000 Co
0.253 0.253 0.253 Ni
0.747 0.747 0.747 Ni
0.500 0.500 0.500 Pd
```

## Properties
**Total moment**: 0.00 μB/cell
**Symmetry**: R-3m (166)
**Formation energy**: -0.661 eV/atom

2.
Pm2AlCo3Ni12: relaxed, PBE.

POSCAR file:
```
Pm2AlCo3Ni12
1.0
4.156 2.399 4.017
-4.156 2.399 4.017
0.000 -4.799 4.017
Pm Al Co Ni
2 1 3 12
Direct
0.225 0.225 0.225 Pm
0.775 0.775 0.775 Pm
0.500 0.500 0.500 Al
0.000 0.500 0.500 Co
0.500 0.000 0.500 Co
0.500 0.500 0.000 Co
0.080 0.080 0.649 Ni
0.080 0.649 0.080 Ni
0.231 0.698 0.698 Ni
0.302 0.302 0.769 Ni
0.302 0.769 0.302 Ni
0.351 0.920 0.920 Ni
0.649 0.080 0.080 Ni
0.698 0.231 0.698 Ni
0.698 0.698 0.231 Ni
0.769 0.302 0.302 Ni
0.920 0.351 0.920 Ni
0.920 0.920 0.351 Ni
```

## Properties
**Total moment**: 7.98 μB/cell
**Symmetry**: R-3m (166)
**Formation energy**: 0.043 eV/atom

3.
PmAlCoNi: relaxed, PBE.

POSCAR file:
```
PmAlCoNi
1.0
0.000 3.197 3.197
3.197 0.000 3.197
3.197 3.197 0.000
Pm Al Co Ni
1 1 1 1
Direct
0.000 0.000 0.000 Pm
0.500 0.500 0.500 Al
0.250 0.250 0.250 Co
0.750 0.750 0.750 Ni
```

## Properties
**Total moment**: 0.58 μB/cell
**Symmetry**: F-43m (216)
**Formation energy**: -0.215 eV/atom

4.
RbAlCoNi2: relaxed, PBE.

POSCAR file:
```
RbAlCoNi2
1.0
4.632 0.000 0.000
0.000 4.632 0.000
0.000 0.000 4.681
Rb Al Co Ni
1 1 1 2
Direct
0.000 0.000 0.000 Rb
0.500 0.500 0.500 Al
0.000 0.000 0.500 Co
0.000 0.500 0.000 Ni
0.500 0.000 0.000 Ni
```

## Properties
**Total moment**: 1.13 μB/cell
**Symmetry**: P4/mmm (123)
**Formation energy**: 2.181 eV/atom